First-principles (PBE) data for crystalline La2PrErSc at its relaxed geometry, as listed in Alexandria.

Summary:
- calculated volume (Å³ per atom) = 34.054
- E_form (meV per atom) = 366
- energy (eV per atom) = -4.740

Cell and atoms, written as extended XYZ:
```
10
Lattice="3.256 -8.029 0.000 3.256 8.029 0.000 0.000 0.000 6.514" Properties=species:S:1:pos:R:3 pbc="T T T"
La 1.607 0.000 0.000
La 1.607 0.000 3.257
La 4.905 0.000 0.000
La 4.905 0.000 3.257
Pr 3.256 2.625 4.885
Pr 3.256 -2.625 1.628
Er 3.256 4.075 1.628
Er 3.256 -4.075 4.885
Sc 3.256 5.550 4.885
Sc 3.256 -5.550 1.628
```